No. 1
Computed, not measured: a PBEsol-optimized structure of YTa2MnFe at the meta-GGA SCAN level of DFT.

abc: 4.8727 4.8727 4.3197
angles: 90.00 90.00 90.00
Closest atoms and distances in Å follow each position.
Space group P4/mmm (No. 123)
One atom of each set of equivalent atoms:
Y 0.0000 0.0000 0.0000  2 Mn 2.16
Ta 0.0000 0.5000 0.0000  2 Y 2.44
Mn 0.0000 0.0000 0.5000  2 Y 2.16
Fe 0.5000 0.5000 0.5000  8 Ta 3.26, 4 Mn 3.45

Values from the calculation:
**Energy relative to the elements**: 2.467 eV/atom
**Crystal system**: tetragonal
**Electronic total energy**: -37.01 eV per atom

No. 2
Computed, not measured: a PBEsol-optimized structure of MnFe2Tc at the meta-GGA SCAN level of DFT.

abc: 2.8374 2.8374 5.8093
angles: 90.00 90.00 90.00
Closest atoms and distances in Å follow each position.
Space group P4mm (No. 99)
One atom of each set of equivalent atoms:
Mn 0.0000 0.0000 0.0000  4 Fe 2.45, 4 Tc 2.51
Fe 0.0000 0.0000 0.5271  4 Fe 2.41, 4 Tc 2.54
Fe 0.5000 0.5000 0.7581  4 Fe 2.41, 4 Mn 2.45
Tc 0.5000 0.5000 0.2591  4 Mn 2.51, 4 Fe 2.54

Values from the calculation:
**Energy relative to the elements**: -0.001 eV/atom
**Energy above the lowest structure with this stoichiometry**: 0.00 eV per formula unit
**Crystal system**: tetragonal
**Electronic total energy**: -22.39 eV per atom

No. 3
Computed, not measured: a PBEsol-optimized structure of MnFeTc2 at the meta-GGA SCAN level of DFT.

abc: 5.8718 5.8718 5.8718
angles: 90.00 90.00 90.00
Closest atoms and distances in Å follow each position.
Space group Fm-3m (No. 225)
One atom of each set of equivalent atoms:
Mn 0.0000 0.0000 0.0000  8 Tc 2.54
Fe 0.0000 0.0000 0.5000  8 Tc 2.54
Tc 0.2500 0.2500 0.2500  4 Fe 2.54, 4 Mn 2.54

Values from the calculation:
**Energy relative to the elements**: -0.011 eV/atom
**Energy above the lowest structure with this stoichiometry**: 0.00 eV per formula unit
**Crystal system**: cubic
**Electronic total energy**: -26.64 eV per atom

No. 4
Computed, not measured: a PBEsol-optimized structure of MnFeTc at the meta-GGA SCAN level of DFT.

abc: 2.5576 2.5576 6.1731
angles: 90.00 90.00 120.00
Closest atoms and distances in Å follow each position.
Space group P3m1 (No. 156)
One atom of each set of equivalent atoms:
Mn 0.0000 0.0000 0.0000  3 Fe 2.41, 6 Mn 2.56, 3 Tc 2.58
Fe 0.3333 0.6667 0.3083  3 Mn 2.41, 6 Fe 2.56, 3 Tc 2.61
Tc 0.6667 0.3333 0.6566  6 Tc 2.56, 3 Mn 2.58, 3 Fe 2.61

Values from the calculation:
**Energy relative to the elements**: 0.253 eV/atom
**Energy above the lowest structure with this stoichiometry**: 0.81 eV per formula unit
**Crystal system**: trigonal
**Electronic total energy**: -23.56 eV per atom

No. 5
Computed, not measured: a PBEsol-optimized structure of MnFeTc at the meta-GGA SCAN level of DFT.

abc: 2.8932 2.8932 8.5744
angles: 90.00 90.00 90.00
Closest atoms and distances in Å follow each position.
Space group I4mm (No. 107)
One atom of each set of equivalent atoms:
Mn 0.0000 0.0000 0.0000  4 Fe 2.45, 4 Tc 2.51
Fe 0.0000 0.0000 0.3434  4 Mn 2.45, 4 Tc 2.53
Tc 0.0000 0.0000 0.6701  4 Mn 2.51, 5 Fe 2.53-2.80

Values from the calculation:
**Energy relative to the elements**: -0.017 eV/atom
**Energy above the lowest structure with this stoichiometry**: 0.00 eV per formula unit
**Crystal system**: tetragonal
**Electronic total energy**: -23.83 eV per atom

No. 6
Computed, not measured: a PBEsol-optimized structure of MnFe2Tc at the meta-GGA SCAN level of DFT.

abc: 5.7215 5.7215 5.7215
angles: 90.00 90.00 90.00
Closest atoms and distances in Å follow each position.
Space group F-43m (No. 216)
One atom of each set of equivalent atoms:
Mn 0.0000 0.0000 0.0000  4 Fe 2.48, 4 Tc 2.48
Fe 0.0000 0.0000 0.5000  4 Fe 2.48, 4 Tc 2.48
Fe 0.2500 0.2500 0.2500  4 Fe 2.48, 4 Mn 2.48
Tc 0.2500 0.2500 0.7500  4 Mn 2.48, 4 Fe 2.48

Values from the calculation:
**Energy relative to the elements**: 0.025 eV/atom
**Energy above the lowest structure with this stoichiometry**: 0.11 eV per formula unit
**Crystal system**: cubic
**Electronic total energy**: -22.37 eV per atom

No. 7
Computed, not measured: a PBEsol-optimized structure of MnFeTc at the meta-GGA SCAN level of DFT.

abc: 5.4734 5.4734 5.4734
angles: 90.00 90.00 90.00
Closest atoms and distances in Å follow each position.
Space group F-43m (No. 216)
One atom of each set of equivalent atoms:
Mn 0.0000 0.0000 0.0000  4 Fe 2.37
Fe 0.2500 0.2500 0.7500  4 Mn 2.37, 4 Tc 2.37
Tc 0.0000 0.0000 0.5000  4 Fe 2.37

Values from the calculation:
**Energy relative to the elements**: 0.468 eV/atom
**Energy above the lowest structure with this stoichiometry**: 1.45 eV per formula unit
**Crystal system**: cubic
**Electronic total energy**: -23.35 eV per atom

No. 8
Computed, not measured: a PBEsol-optimized structure of MnFe2Tc at the meta-GGA SCAN level of DFT.

abc: 4.0234 4.0234 2.8814
angles: 90.00 90.00 90.00
Closest atoms and distances in Å follow each position.
Space group P4/mmm (No. 123)
One atom of each set of equivalent atoms:
Mn 0.0000 0.0000 0.0000  8 Fe 2.47
Fe 0.0000 0.5000 0.5000  4 Mn 2.47, 4 Tc 2.47
Tc 0.5000 0.5000 0.0000  8 Fe 2.47

Values from the calculation:
**Energy relative to the elements**: 0.066 eV/atom
**Energy above the lowest structure with this stoichiometry**: 0.27 eV per formula unit
**Crystal system**: tetragonal
**Electronic total energy**: -22.33 eV per atom